Entry 1:
{"formula": "TaAs2Rh", "functional": "PBE-GGA", "state": "optimized geometry", "sg": "Cm", "lattice_angstrom": [[4.867, -0.014, -0.003], [3.736, 3.119, -0.003], [1.093, 0.394, 4.266]], "species": ["As", "As", "Rh", "Ta"], "fractional_positions": [[0.998, 0.998, 0.071], [0.753, 0.753, 0.686], [0.486, 0.486, 0.561], [0.263, 0.263, 0.182]]}

Entry 2:
{"formula": "Ta2AsRh", "functional": "PBE-GGA", "state": "optimized geometry", "sg": "Amm2", "lattice_angstrom": [[-3.393, 1.196, -0.988], [-1.340, -2.039, 2.132], [-0.422, 2.910, 4.973]], "species": ["Rh", "As", "Ta", "Ta"], "fractional_positions": [[0.500, 0.554, 0.768], [0.000, 0.702, 0.471], [0.000, 0.949, 0.978], [0.500, 0.296, 0.284]]}

Entry 3:
{"formula": "Ta2AsRh", "functional": "PBE-GGA", "state": "optimized geometry", "sg": "I-42d", "lattice_angstrom": [[-1.353, 6.522, -2.352], [-5.478, 0.464, 4.437], [-1.705, 4.569, 3.042]], "species": ["Ta", "Ta", "Ta", "Ta", "Rh", "Rh", "As", "As"], "fractional_positions": [[0.875, 0.876, 0.750], [0.375, 0.374, 0.750], [0.124, 0.625, 0.250], [0.626, 0.125, 0.250], [0.000, 0.000, 0.000], [0.750, 0.250, 0.500], [0.500, 0.500, 0.000], [0.250, 0.750, 0.500]]}

Entry 4:
{"formula": "Ta4AsRh", "functional": "PBE-GGA", "state": "optimized geometry", "sg": "F-43m", "lattice_angstrom": [[4.514, -2.791, 1.017], [1.906, -0.309, 5.047], [-0.263, -4.670, 2.707]], "species": ["Ta", "Ta", "Ta", "Ta", "Rh", "As"], "fractional_positions": [[0.375, 0.874, 0.375], [0.375, 0.375, 0.375], [0.874, 0.375, 0.375], [0.375, 0.375, 0.874], [0.000, 0.000, 0.000], [0.750, 0.750, 0.750]]}

Entry 5:
{"formula": "Ta2AsRh", "functional": "PBE-GGA", "state": "optimized geometry", "sg": "Immm", "lattice_angstrom": [[5.126, -0.017, -0.024], [3.958, 3.258, -0.024], [1.860, 0.664, 3.871]], "species": ["Ta", "Ta", "Rh", "As"], "fractional_positions": [[0.498, 0.498, 0.502], [0.002, 0.002, 0.998], [0.250, 0.250, 0.250], [0.750, 0.750, 0.750]]}

Entry 6:
{"formula": "TaAs2Rh2", "functional": "PBE-GGA", "state": "optimized geometry", "sg": "P4/mbm", "lattice_angstrom": [[7.219, 0.000, 0.000], [0.000, 7.219, 0.000], [0.000, 0.000, 3.085]], "species": ["Ta", "Ta", "As", "As", "As", "As", "Rh", "Rh", "Rh", "Rh"], "fractional_positions": [[0.000, 0.000, 0.000], [0.500, 0.500, 0.000], [0.170, 0.670, 0.500], [0.670, 0.830, 0.500], [0.830, 0.330, 0.500], [0.330, 0.170, 0.500], [0.866, 0.634, 0.000], [0.134, 0.366, 0.000], [0.634, 0.134, 0.000], [0.366, 0.866, 0.000]]}

Entry 7:
{"formula": "Tb3TaAs2Rh9", "functional": "PBE-GGA", "state": "optimized geometry", "sg": "P-3m1", "lattice_angstrom": [[5.751, 0.000, 0.000], [-2.875, 4.980, 0.000], [0.000, 0.000, 10.497]], "species": ["Tb", "Tb", "Tb", "Rh", "Rh", "Rh", "Rh", "Rh", "Rh", "Rh", "Rh", "Rh", "As", "As", "Ta"], "fractional_positions": [[0.333, 0.667, 0.589], [0.000, 0.000, 0.000], [0.667, 0.333, 0.411], [0.500, 0.000, 0.000], [0.836, 0.673, 0.680], [0.327, 0.164, 0.680], [0.164, 0.836, 0.320], [0.000, 0.500, 0.000], [0.836, 0.164, 0.680], [0.500, 0.500, 0.000], [0.673, 0.836, 0.320], [0.164, 0.327, 0.320], [0.667, 0.333, 0.840], [0.333, 0.667, 0.160], [0.000, 0.000, 0.500]]}

Entry 8:
{"formula": "Th2TaAs4Rh3", "functional": "PBE-GGA", "state": "optimized geometry", "sg": "P-4m2", "lattice_angstrom": [[4.356, 0.000, 0.000], [0.000, 4.356, 0.000], [0.000, 0.000, 10.111]], "species": ["As", "As", "As", "As", "Th", "Th", "Rh", "Rh", "Rh", "Ta"], "fractional_positions": [[0.000, 0.000, 0.000], [0.000, 0.500, 0.361], [0.500, 0.500, 0.000], [0.500, 0.000, 0.639], [0.500, 0.000, 0.236], [0.000, 0.500, 0.764], [0.500, 0.000, 0.883], [0.000, 0.500, 0.117], [0.000, 0.000, 0.500], [0.500, 0.500, 0.500]]}

The following energy of formation values (in eV/atom) correspond, in order, to the records above: -0.311; -0.366; 0.013; 0.466; -0.253; -0.056; -0.394; -0.814.
The following total magnetic moment values (in Bohr magnetons per cell) correspond, in order, to the records above: 0.00; 0.00; 0.00; 0.00; 0.00; 0.00; 0.00; 0.00.